Pm5Dy5Ho2 | PBE | relaxed

POSCAR file:
```
Pm5Dy5Ho2
1.0
7.599 -2.530 0.000
7.599 2.530 0.000
-5.073 0.000 10.154
Pm Dy Ho
5 5 2
Direct
0.000 0.000 0.000
0.084 0.084 0.751
0.166 0.166 0.500
0.834 0.834 0.500
0.916 0.916 0.249
0.249 0.249 0.248
0.333 0.333 0.999
0.500 0.500 0.500
0.667 0.667 0.001
0.751 0.751 0.752
0.417 0.417 0.751
0.583 0.583 0.249
```

Computed properties:
Density of states at the Fermi level   17.4 states/eV/f.u.
Total moment   0.00 μB per cell
Symmetry   C2/m, No. 12
ΔE_f   0.02 eV per atom
E   -4.643 eV per atom

=====

Pm5Dy4Ho4 | PBE | relaxed

POSCAR file:
```
Pm5Dy4Ho4
1.0
-6.460 6.460 2.522
6.460 -6.460 2.522
6.460 6.460 -2.522
Pm Dy Ho
5 4 4
Direct
0.000 0.000 0.000
0.306 0.461 0.767
0.461 0.694 0.155
0.539 0.306 0.845
0.694 0.539 0.233
0.076 0.615 0.691
0.385 0.076 0.461
0.615 0.924 0.539
0.924 0.385 0.309
0.155 0.232 0.387
0.232 0.845 0.078
0.768 0.155 0.922
0.845 0.768 0.613
```

Computed properties:
Density of states at the Fermi level   17.8 states/eV/f.u.
Total moment   0.00 μB per cell
Symmetry   I4/m, No. 87
ΔE_f   0.02 eV per atom
E   -4.635 eV per atom

=====

Pm2Dy8Ho3 | PBE | relaxed

POSCAR file:
```
Pm2Dy8Ho3
1.0
3.502 0.000 0.000
0.000 11.701 0.000
-0.011 0.000 20.637
Pm Dy Ho
4 16 6
Direct
0.002 0.180 0.099
0.002 0.320 0.599
0.998 0.680 0.401
0.998 0.820 0.901
0.000 0.046 0.572
0.000 0.454 0.072
0.000 0.546 0.928
0.000 0.954 0.428
0.001 0.127 0.285
0.001 0.373 0.785
0.496 0.053 0.842
0.496 0.447 0.342
0.500 0.208 0.447
0.500 0.292 0.947
0.500 0.708 0.053
0.500 0.792 0.553
0.504 0.553 0.658
0.504 0.947 0.158
0.999 0.627 0.215
0.999 0.873 0.715
0.498 0.645 0.799
0.498 0.855 0.299
0.500 0.000 0.000
0.500 0.500 0.500
0.502 0.145 0.701
0.502 0.355 0.201
```

Computed properties:
Relative energy among the computed polymorphs   0.0000 eV per atom
Density of states at the Fermi level   19.5 states/eV/f.u.
Total moment   0.00 μB per cell
Symmetry   P2_1/c, No. 14
ΔE_f   0.15 eV per atom
E   -4.466 eV per atom